Entry 1:
Computed, not measured: a relaxed structure of PdSe2I at the PBE level of DFT.

abc: 3.895 7.877 8.367
angles: 99.60 103.33 103.04
Fractional coordinates of all 8 atoms:
Pd 0.000 0.000 0.000
Pd 0.218 0.820 0.591
Se 0.352 0.781 0.887
Se 0.582 0.592 0.525
Se 0.648 0.494 0.775
Se 0.872 0.033 0.704
I 0.053 0.806 0.253
I 0.666 0.251 0.111

Output
Formation energy (no corrections): -0.153 eV/atom
Excess energy over the best structure of this formula in the dataset: 33.6 meV per atom
E_tot: -3.581 eV/atom
Mass density: 5.49 g/cm³

Entry 2:
Computed, not measured: a relaxed structure of TcAg at the PBE level of DFT.

abc: 9.617 9.617 9.617
angles: 16.77 16.77 16.77
Fractional coordinates of all 4 atoms:
Tc 0.000 0.000 0.000
Tc 0.404 0.404 0.404
Ag 0.247 0.247 0.247
Ag 0.825 0.825 0.825

Output
Excess energy over the best structure of this formula in the dataset: 9.0 meV per atom
Energy of formation from the pure elements: 0.181 eV/atom
E_tot: -6.427 eV/atom
Mass density: 10.59 g/cm³

Entry 3:
Computed, not measured: a relaxed structure of TmFeB3 at the PBE level of DFT.

abc: 9.471 9.471 3.132
angles: 90.00 90.00 158.71
Fractional coordinates of all 10 atoms:
Tm 0.078 0.922 0.750
Tm 0.922 0.078 0.250
Fe 0.210 0.790 0.250
Fe 0.790 0.210 0.750
B 0.320 0.680 0.250
B 0.368 0.632 0.750
B 0.476 0.524 0.750
B 0.524 0.476 0.250
B 0.632 0.368 0.250
B 0.680 0.320 0.750

Output
Excess energy over the best structure of this formula in the dataset: 0.0 meV per atom
Energy of formation from the pure elements: -0.392 eV/atom
E_tot: -6.985 eV/atom
Mass density: 8.37 g/cm³

Entry 4:
Computed, not measured: a relaxed structure of Pr12ErCd3 at the PBE level of DFT.

abc: 5.043 5.043 20.429
angles: 90.00 90.00 90.00
Fractional coordinates of all 16 atoms:
Pr 0.000 0.000 0.000
Pr 0.000 0.000 0.247
Pr 0.000 0.000 0.500
Pr 0.000 0.000 0.753
Pr 0.000 0.500 0.123
Pr 0.000 0.500 0.371
Pr 0.000 0.500 0.629
Pr 0.000 0.500 0.877
Pr 0.500 0.000 0.123
Pr 0.500 0.000 0.371
Pr 0.500 0.000 0.629
Pr 0.500 0.000 0.877
Er 0.500 0.500 0.500
Cd 0.500 0.500 0.000
Cd 0.500 0.500 0.244
Cd 0.500 0.500 0.756

Output
Energy of formation from the pure elements: -0.079 eV/atom
E_tot: -4.121 eV/atom
Mass density: 7.02 g/cm³

Entry 5:
Computed, not measured: a relaxed structure of K2BeF4 at the PBE level of DFT.

abc: 6.796 6.796 6.796
angles: 146.52 146.52 48.07
Fractional coordinates of all 7 atoms:
K 0.144 0.144 0.000
K 0.856 0.856 0.000
Be 0.500 0.500 0.000
F 0.000 0.500 0.500
F 0.366 0.366 0.000
F 0.500 0.000 0.500
F 0.634 0.634 0.000

Output
Formation energy (no corrections): -2.853 eV/atom
Excess energy over the best structure of this formula in the dataset: 235.4 meV per atom
E_tot: -4.768 eV/atom
Mass density: 2.85 g/cm³

Entry 6:
Computed, not measured: a relaxed structure of BaRePb at the PBE level of DFT.

abc: 5.401 5.401 3.135
angles: 90.00 90.00 120.00
Fractional coordinates of all 3 atoms:
Ba 0.000 0.000 0.000
Re 0.333 0.667 0.500
Pb 0.667 0.333 0.500

Output
Excess energy over the best structure of this formula in the dataset: 261.7 meV per atom
Energy of formation from the pure elements: 1.034 eV/atom
E_tot: -4.992 eV/atom
Mass density: 11.13 g/cm³

Entry 7:
Computed, not measured: a relaxed structure of KErTe at the PBE level of DFT.

abc: 4.640 4.640 9.562
angles: 90.00 90.00 90.00
Fractional coordinates of all 6 atoms:
K 0.250 0.250 0.139
K 0.750 0.750 0.861
Er 0.250 0.750 0.500
Er 0.750 0.250 0.500
Te 0.250 0.250 0.740
Te 0.750 0.750 0.260

Output
Formation energy (no corrections): -0.721 eV/atom
E_tot: -3.655 eV/atom
Mass density: 5.39 g/cm³

Entry 8:
Computed, not measured: a relaxed structure of SiAgPb2 at the PBE level of DFT.

abc: 9.398 9.398 9.398
angles: 21.77 21.77 21.77
Fractional coordinates of all 4 atoms:
Si 0.000 0.000 0.000
Ag 0.500 0.500 0.500
Pb 0.252 0.252 0.252
Pb 0.748 0.748 0.748

Output
Formation energy (no corrections): 0.396 eV/atom
E_tot: -3.527 eV/atom
Mass density: 9.13 g/cm³

Entry 9:
Computed, not measured: a relaxed structure of PmMgAlTl at the PBE level of DFT.

abc: 5.191 5.191 5.191
angles: 60.00 60.00 60.00
Fractional coordinates of all 4 atoms:
Pm 0.000 0.000 0.000
Mg 0.500 0.500 0.500
Al 0.250 0.250 0.250
Tl 0.750 0.750 0.750

Output
Energy of formation from the pure elements: -0.176 eV/atom
E_tot: -3.290 eV/atom
Mass density: 6.73 g/cm³

Entry 10:
Computed, not measured: a relaxed structure of NdDy2Rh at the PBE level of DFT.

abc: 6.385 6.385 9.494
angles: 90.00 90.00 145.30
Fractional coordinates of all 8 atoms:
Nd 0.074 0.926 0.750
Nd 0.926 0.074 0.250
Dy 0.360 0.640 0.568
Dy 0.360 0.640 0.932
Dy 0.640 0.360 0.068
Dy 0.640 0.360 0.432
Rh 0.240 0.760 0.250
Rh 0.760 0.240 0.750

Output
Excess energy over the best structure of this formula in the dataset: 28.8 meV per atom
Energy of formation from the pure elements: -0.466 eV/atom
E_tot: -5.797 eV/atom
Mass density: 8.62 g/cm³

Entry 11:
Computed, not measured: a relaxed structure of Ce2YNb at the PBE level of DFT.

abc: 11.987 11.987 11.987
angles: 15.20 15.20 15.20
Fractional coordinates of all 4 atoms:
Ce 0.079 0.079 0.079
Ce 0.921 0.921 0.921
Y 0.500 0.500 0.500
Nb 0.000 0.000 0.000

Output
Energy of formation from the pure elements: 0.458 eV/atom
E_tot: -6.642 eV/atom
Mass density: 7.44 g/cm³

Entry 12:
Computed, not measured: a relaxed structure of KRbTl at the PBE level of DFT.

abc: 7.526 7.526 7.526
angles: 124.73 102.16 102.68
Fractional coordinates of all 6 atoms:
K 0.172 0.250 0.422
K 0.828 0.750 0.578
Rb 0.173 0.588 0.085
Rb 0.503 0.088 0.915
Tl 0.678 0.178 0.500
Tl 0.678 0.678 0.000

Output
Excess energy over the best structure of this formula in the dataset: 14.0 meV per atom
Energy of formation from the pure elements: -0.041 eV/atom
E_tot: -1.518 eV/atom
Mass density: 3.52 g/cm³

- Number 7 is which compound?
  KErTe

- Number 5 is which compound?
  K2BeF4